VASP calculation (PBE) on crystalline RbMg2As at its relaxed geometry.

Summary:
The calculation puts the energy above the most stable polymorph in this dataset at 0.2093 eV/atom. The value obtained for the energy relative to the elements is 145 meV per atom. The density of states at the Fermi level is 0.433 states/eV per atom. Its space group is Fm-3m.

```
RbMg2As
1.0
-4.892 -1.476 1.606
-1.416 0.563 5.135
-3.596 3.717 1.395
As Mg Rb
1 2 1
direct
0.000 0.000 0.000
0.750 0.750 0.750
0.250 0.250 0.250
0.500 0.500 0.500
```



VASP calculation (PBE) on crystalline Tb3CePb3 at its relaxed geometry.

Summary:
The value obtained for the energy relative to the elements is -337 meV per atom. The density of states at the Fermi level is 1.751 states/eV per atom. Its space group is P6_3/m.

```
Tb3CePb3
1.0
-3.141 3.141 3.353
-5.545 -7.337 1.679
7.421 1.597 5.457
Tb Pb Ce
6 6 2
direct
0.250 0.992 0.231
0.750 0.231 0.239
0.750 0.008 0.769
0.250 0.769 0.761
0.750 0.761 0.992
0.250 0.239 0.008
0.750 0.924 0.373
0.250 0.373 0.449
0.250 0.551 0.924
0.750 0.627 0.551
0.750 0.449 0.076
0.250 0.076 0.627
0.250 0.667 0.333
0.750 0.333 0.667
```



VASP calculation (PBE) on crystalline Si2MoAu at its relaxed geometry.

Summary:
The calculation puts the energy above the most stable polymorph in this dataset at 0.1633 eV/atom. As for the uncorrected formation energy: 2.3 kcal/mol of atoms. The density of states at the Fermi level is 1.327 states/eV per atom. Its space group is R-3m.

```
Si2MoAu
1.0
8.347 -0.020 -0.012
7.822 2.915 -0.012
7.822 1.400 2.557
Au Si Mo
1 2 1
direct
0.250 0.250 0.250
0.494 0.494 0.494
0.006 0.006 0.006
0.750 0.750 0.750
```



VASP calculation (PBE) on crystalline KSr2Co at its relaxed geometry.

Summary:
The calculation puts the energy above the most stable polymorph in this dataset at 0.2438 eV/atom. The value obtained for the energy relative to the elements is 598 meV per atom. The density of states at the Fermi level is 0.736 states/eV per atom. Its space group is I-42d.

```
KSr2Co
1.0
-7.161 -2.268 3.954
4.269 -5.918 4.337
-0.321 -0.118 8.464
Sr Co K
4 2 2
direct
0.375 0.122 0.750
0.872 0.625 0.250
0.878 0.125 0.250
0.875 0.128 0.750
0.750 0.250 0.500
0.000 0.000 0.000
0.500 0.500 0.000
0.250 0.750 0.500
```



VASP calculation (PBE) on crystalline Ga3RuPt at its relaxed geometry.

Summary:
The calculation puts the energy above the most stable polymorph in this dataset at 0.0000 eV/atom. The value obtained for the energy relative to the elements is 304 meV per atom. The density of states at the Fermi level is 0.784 states/eV per atom. Its space group is Pm-3m.

```
Ga3RuPt
1.0
4.701 0.000 0.000
0.000 4.701 0.000
0.000 0.000 4.701
Ga Ru Pt
3 1 1
direct
0.000 0.000 0.500
0.000 0.500 0.000
0.500 0.000 0.000
0.000 0.000 0.000
0.500 0.500 0.500
```



VASP calculation (PBE) on crystalline Ti2InPd2 at its relaxed geometry.

Summary:
The value obtained for the energy relative to the elements is -235 meV per atom. The density of states at the Fermi level is 0.836 states/eV per atom. Its space group is I4/mmm.

```
Ti2InPd2
1.0
4.151 0.000 0.000
0.000 4.151 0.000
2.076 2.076 5.556
Pd Ti In
2 2 1
direct
0.615 0.615 0.770
0.385 0.385 0.230
0.250 0.750 0.500
0.750 0.250 0.500
0.000 0.000 0.000
```